[1]
A plane-wave DFT calculation with GGA-PBE was carried out for BaGa2Tc after structural relaxation.

```
BaGa2Tc
1.0
2.478 1.431 4.047
-2.478 1.431 4.047
0.000 -2.862 4.047
Ga Ba Tc
2 1 1
direct
0.750 0.750 0.750 Ga
0.500 0.500 0.500 Ga
0.250 0.250 0.250 Ba
0.000 0.000 0.000 Tc
```

Total magnetization   0.513 μB per formula unit
Final energy   -3.958 eV/atom
Space group   No. 216

=====

[2]
A plane-wave DFT calculation with GGA-PBE was carried out for BaGaTc after structural relaxation.

```
BaGaTc
1.0
0.000 3.346 3.346
3.346 0.000 3.346
3.346 3.346 0.000
Tc Ba Ga
1 1 1
direct
0.000 0.000 0.000 Tc
0.250 0.250 0.250 Ba
0.750 0.750 0.750 Ga
```

Total magnetization   0.017 μB per formula unit
Energy above the most stable polymorph in this dataset   0 meV per atom
Final energy   -4.393 eV/atom
Space group   No. 216

=====

[3]
A plane-wave DFT calculation with GGA-PBE was carried out for BaGa3Tc after structural relaxation.

```
BaGa3Tc
1.0
6.915 0.000 0.000
0.000 6.915 0.000
0.000 0.000 4.961
Ga Ba Tc
6 2 2
direct
0.250 0.250 0.500 Ga
0.750 0.250 0.500 Ga
0.750 0.750 0.500 Ga
0.500 0.000 0.930 Ga
0.250 0.750 0.500 Ga
0.000 0.500 0.070 Ga
0.000 0.000 0.000 Ba
0.500 0.500 0.000 Ba
0.000 0.500 0.576 Tc
0.500 0.000 0.424 Tc
```

Total magnetization   0.001 μB per formula unit
Energy above the most stable polymorph in this dataset   0 meV per atom
Final energy   -4.702 eV/atom
Space group   No. 129